No. 1
Density functional theory data (PBE) for crystalline Zr2AgN at its relaxed geometry.

Formation energy without anion corrections   -0.50 eV per atom
DOS at the Fermi energy   0.393 states/eV/atom
SG   I-42d (122)
Total magnetic moment   0.00 μB per formula unit

a b c (Å): 6.4229 6.4229 5.8525
angles (deg): 56.72 56.72 90.00
Closest atoms and distances in Å follow each position.
Atoms (fractional coordinates):
Ag 0.7500 0.2500 0.5000  4 Zr 2.87
Ag 0.0000 0.0000 0.0000  4 Zr 2.87
Zr 0.2159 0.6250 0.2500  2 N 2.12
Zr 0.8750 0.7841 0.7500  2 N 2.12
Zr 0.5341 0.1250 0.2500  2 N 2.12
Zr 0.3750 0.4659 0.7500  2 N 2.12
N 0.2500 0.7500 0.5000  4 Zr 2.12
N 0.5000 0.5000 0.0000  4 Zr 2.12

***

No. 2
Density functional theory data (PBE) for crystalline Zr2AgN at its relaxed geometry.

Formation energy without anion corrections   -0.85 eV per atom
DOS at the Fermi energy   0.499 states/eV/atom
SG   R-3m (166)
Total magnetic moment   0.00 μB per formula unit

a b c (Å): 3.3007 3.3007 7.4967
angles (deg): 77.28 77.28 60.00
Closest atoms and distances in Å follow each position.
Atoms (fractional coordinates):
N 0.0000 0.0000 0.0000  6 Zr 2.28
Zr 0.7239 0.7239 0.8284  3 N 2.28
Zr 0.2761 0.2761 0.1716  3 N 2.28
Ag 0.5000 0.5000 0.5000  6 Zr 3.05, 6 Ag 3.30

***

No. 3
Density functional theory data (PBE) for crystalline ZrAg3N at its relaxed geometry.

Formation energy without anion corrections   0.79 eV per atom
DOS at the Fermi energy   0.558 states/eV/atom
SG   Pm-3m (221)
Total magnetic moment   0.00 μB per formula unit

a b c (Å): 4.4436 4.4436 4.4436
angles (deg): 90.00 90.00 90.00
Closest atoms and distances in Å follow each position.
Atoms (fractional coordinates):
Ag 0.0000 0.0000 0.5000  2 N 2.22
Ag 0.5000 0.0000 0.0000  2 N 2.22
Ag 0.0000 0.5000 0.0000  2 N 2.22
Zr 0.5000 0.5000 0.5000  12 Ag 3.14
N 0.0000 0.0000 0.0000  6 Ag 2.22

***

No. 4
Density functional theory data (PBE) for crystalline ZrAgN2 at its relaxed geometry.

Formation energy without anion corrections   -0.18 eV per atom
DOS at the Fermi energy   0.881 states/eV/atom
SG   I-42d (122)
Total magnetic moment   0.00 μB per formula unit

a b c (Å): 5.0150 5.0150 6.1530
angles (deg): 65.95 65.95 90.00
Closest atoms and distances in Å follow each position.
Atoms (fractional coordinates):
N 0.3750 0.4076 0.7500  2 Zr 2.08, 2 Ag 2.27
N 0.1576 0.6250 0.2500  2 Zr 2.08, 2 Ag 2.27
N 0.8750 0.8424 0.7500  2 Zr 2.08, 2 Ag 2.27
N 0.5924 0.1250 0.2500  2 Zr 2.08, 2 Ag 2.27
Ag 0.0000 0.0000 0.0000  4 N 2.27
Ag 0.7500 0.2500 0.5000  4 N 2.27
Zr 0.5000 0.5000 0.0000  4 N 2.08
Zr 0.2500 0.7500 0.5000  4 N 2.08

***

No. 5
Density functional theory data (PBE) for crystalline ZrAgN3 at its relaxed geometry.

Formation energy without anion corrections   1.41 eV per atom
DOS at the Fermi energy   0.692 states/eV/atom
SG   Pm-3m (221)
Total magnetic moment   0.00 μB per formula unit

a b c (Å): 3.9318 3.9318 3.9318
angles (deg): 90.00 90.00 90.00
Closest atoms and distances in Å follow each position.
Atoms (fractional coordinates):
Zr 0.5000 0.5000 0.5000  12 N 2.78
N 0.5000 0.0000 0.0000  2 Ag 1.97
N 0.0000 0.5000 0.0000  2 Ag 1.97
N 0.0000 0.0000 0.5000  2 Ag 1.97
Ag 0.0000 0.0000 0.0000  6 N 1.97

***

No. 6
Density functional theory data (PBE) for crystalline ZrAgN3 at its relaxed geometry.

Formation energy without anion corrections   1.02 eV per atom
DOS at the Fermi energy   1.266 states/eV/atom
SG   Pm-3m (221)
Total magnetic moment   0.00 μB per formula unit

a b c (Å): 4.2328 4.2328 4.2328
angles (deg): 90.00 90.00 90.00
Closest atoms and distances in Å follow each position.
Atoms (fractional coordinates):
Ag 0.5000 0.5000 0.5000  12 N 2.99
Zr 0.0000 0.0000 0.0000  6 N 2.12
N 0.0000 0.0000 0.5000  2 Zr 2.12
N 0.5000 0.0000 0.0000  2 Zr 2.12
N 0.0000 0.5000 0.0000  2 Zr 2.12

***

No. 7
Density functional theory data (PBE) for crystalline Zr4AgN at its relaxed geometry.

Formation energy without anion corrections   -0.36 eV per atom
DOS at the Fermi energy   0.800 states/eV/atom
SG   P2_1/c (14)
Total magnetic moment   0.00 μB per formula unit

a b c (Å): 5.1827 6.7391 8.1201
angles (deg): 116.35 90.00 90.00
Closest atoms and distances in Å follow each position.
Atoms (fractional coordinates):
Zr 0.2523 0.3146 0.1201  2 N 2.29-2.31
Zr 0.2601 0.8741 0.7580  1 N 2.22
Zr 0.2477 0.8146 0.1201  2 N 2.29-2.31
Zr 0.7523 0.1854 0.8799  2 N 2.29-2.31
Zr 0.7399 0.1259 0.2420  1 N 2.22
Zr 0.7601 0.6259 0.2420  1 N 2.22
Zr 0.2399 0.3741 0.7580  1 N 2.22
Zr 0.7477 0.6854 0.8799  2 N 2.29-2.31
Ag 0.5000 0.0000 0.5000  6 Zr 2.81-3.06
Ag 0.0000 0.5000 0.5000  6 Zr 2.81-3.06
N 0.5000 0.5000 0.0000  6 Zr 2.22-2.31
N 0.0000 0.0000 0.0000  6 Zr 2.22-2.31

***

No. 8
Density functional theory data (PBE) for crystalline ZrAg2N at its relaxed geometry.

Formation energy without anion corrections   0.21 eV per atom
DOS at the Fermi energy   0.674 states/eV/atom
SG   I-42d (122)
Total magnetic moment   0.00 μB per formula unit

a b c (Å): 8.1786 8.1786 6.1701
angles (deg): 48.49 48.49 90.00
Closest atoms and distances in Å follow each position.
Atoms (fractional coordinates):
N 0.5000 0.5000 0.0000  2 Zr 2.15
N 0.2500 0.7500 0.5000  2 Zr 2.15
Ag 0.5274 0.1250 0.2500  2 N 2.45, 2 Ag 2.68
Ag 0.8750 0.7774 0.7500  2 N 2.45, 2 Ag 2.68
Ag 0.3750 0.4726 0.7500  2 N 2.45, 2 Ag 2.68
Ag 0.2226 0.6250 0.2500  2 N 2.45, 2 Ag 2.68
Zr 0.7500 0.2500 0.5000  2 N 2.15
Zr 0.0000 0.0000 0.0000  2 N 2.15

***

No. 9
Density functional theory data (PBE) for crystalline ZrAg3N at its relaxed geometry.

Formation energy without anion corrections   2.46 eV per atom
DOS at the Fermi energy   2.115 states/eV/atom
SG   Pm-3m (221)
Total magnetic moment   0.98 μB per formula unit

a b c (Å): 5.3072 5.3072 5.3072
angles (deg): 90.00 90.00 90.00
Closest atoms and distances in Å follow each position.
Atoms (fractional coordinates):
Zr 0.0000 0.0000 0.0000  6 Ag 2.65
Ag 0.0000 0.5000 0.0000  2 Zr 2.65
Ag 0.0000 0.0000 0.5000  2 Zr 2.65
Ag 0.5000 0.0000 0.0000  2 Zr 2.65
N 0.5000 0.5000 0.5000  12 Ag 3.75

***

No. 10
Density functional theory data (PBE) for crystalline Zr2AgN at its relaxed geometry.

Formation energy without anion corrections   -0.83 eV per atom
DOS at the Fermi energy   0.540 states/eV/atom
SG   R3m (160)
Total magnetic moment   0.00 μB per formula unit

a b c (Å): 3.2853 3.2853 7.5446
angles (deg): 77.42 77.42 60.00
Closest atoms and distances in Å follow each position.
Atoms (fractional coordinates):
Zr 0.2757 0.2757 0.1728  3 N 2.30
Zr 0.0564 0.0564 0.8308  3 N 2.25
N 0.6682 0.6682 0.9954  6 Zr 2.25-2.30
Ag 0.4997 0.4997 0.5010  6 Zr 3.06-3.07, 6 Ag 3.29

***

No. 11
Density functional theory data (PBE) for crystalline Zr3Ag3N at its relaxed geometry.

Formation energy without anion corrections   -0.53 eV per atom
DOS at the Fermi energy   0.660 states/eV/atom
SG   Fd-3m (227)
Total magnetic moment   0.00 μB per formula unit

a b c (Å): 8.8688 8.8688 8.8688
angles (deg): 60.00 60.00 60.00
Closest atoms and distances in Å follow each position.
Atoms (fractional coordinates):
Ag 0.4134 0.4134 0.4134  3 Ag 2.74, 3 Zr 2.91
Ag 0.7597 0.4134 0.4134  3 Ag 2.74, 3 Zr 2.91
Ag 0.8366 0.4903 0.8366  3 Ag 2.74, 3 Zr 2.91
Ag 0.8366 0.8366 0.8366  3 Ag 2.74, 3 Zr 2.91
Ag 0.4134 0.4134 0.7597  3 Ag 2.74, 3 Zr 2.91
Ag 0.6250 0.6250 0.1250  6 Ag 2.74
Ag 0.8366 0.8366 0.4903  3 Ag 2.74, 3 Zr 2.91
Ag 0.4903 0.8366 0.8366  3 Ag 2.74, 3 Zr 2.91
Ag 0.1250 0.6250 0.6250  6 Ag 2.74
Ag 0.6250 0.6250 0.6250  6 Ag 2.74
Ag 0.6250 0.1250 0.6250  6 Ag 2.74
Ag 0.4134 0.7597 0.4134  3 Ag 2.74, 3 Zr 2.91
Zr 0.4323 0.4323 0.0677  2 N 2.33
Zr 0.4323 0.0677 0.4323  2 N 2.33
Zr 0.8177 0.1823 0.8177  2 N 2.33
Zr 0.1823 0.1823 0.8177  2 N 2.33
Zr 0.0677 0.4323 0.4323  2 N 2.33
Zr 0.8177 0.8177 0.1823  2 N 2.33
Zr 0.1823 0.8177 0.1823  2 N 2.33
Zr 0.0677 0.4323 0.0677  2 N 2.33
Zr 0.4323 0.0677 0.0677  2 N 2.33
Zr 0.0677 0.0677 0.4323  2 N 2.33
Zr 0.8177 0.1823 0.1823  2 N 2.33
Zr 0.1823 0.8177 0.8177  2 N 2.33
N 0.1250 0.1250 0.1250  6 Zr 2.33
N 0.1250 0.6250 0.1250  6 Zr 2.33
N 0.1250 0.1250 0.6250  6 Zr 2.33
N 0.6250 0.1250 0.1250  6 Zr 2.33

***

No. 12
Density functional theory data (PBE) for crystalline Zr4AgN2 at its relaxed geometry.

Formation energy without anion corrections   -1.01 eV per atom
DOS at the Fermi energy   0.537 states/eV/atom
SG   Cmcm (63)
Total magnetic moment   0.00 μB per formula unit

a b c (Å): 3.3657 5.9390 11.9468
angles (deg): 90.00 90.00 106.46
Closest atoms and distances in Å follow each position.
Atoms (fractional coordinates):
Ag 0.3856 0.7711 0.2500  6 Zr 2.80-2.84
Ag 0.6144 0.2289 0.7500  6 Zr 2.80-2.84
Zr 0.9184 0.8368 0.7500  2 N 2.33
Zr 0.0816 0.1632 0.2500  2 N 2.33
Zr 0.2426 0.4852 0.8972  3 N 2.26-2.33
Zr 0.2426 0.4852 0.6028  3 N 2.26-2.33
Zr 0.5000 0.0000 0.0000  4 N 2.37
Zr 0.7574 0.5148 0.3972  3 N 2.26-2.33
Zr 0.7574 0.5148 0.1028  3 N 2.26-2.33
Zr 0.5000 0.0000 0.5000  4 N 2.37
N 0.8678 0.7356 0.9388  6 Zr 2.26-2.37
N 0.1322 0.2644 0.0612  6 Zr 2.26-2.37
N 0.1322 0.2644 0.4388  6 Zr 2.26-2.37
N 0.8678 0.7356 0.5612  6 Zr 2.26-2.37

***

No. 13
Density functional theory data (PBE) for crystalline NaAg8 at its relaxed geometry.

DOS at the Fermi energy   0.267 states/eV/atom
SG   I4/mmm (139)
Total magnetic moment   0.00 μB per formula unit
Final energy   -23.66 eV/cell

a b c (Å): 3.0077 7.6093 7.6093
angles (deg): 87.76 78.60 78.60
Closest atoms and distances in Å follow each position.
Atoms (fractional coordinates):
Ag 0.0000 0.6677 0.3323  10 Ag 2.90-3.01
Ag 0.6677 0.3323 0.3323  10 Ag 2.90-3.01
Ag 0.3323 0.6677 0.6677  10 Ag 2.90-3.01
Ag 0.6695 0.6609 0.0000  8 Ag 2.83-3.01, 2 Na 2.94
Ag 0.6695 0.0000 0.6609  8 Ag 2.83-3.01, 2 Na 2.94
Ag 0.3305 0.3391 0.0000  8 Ag 2.83-3.01, 2 Na 2.94
Ag 0.0000 0.3323 0.6677  10 Ag 2.90-3.01
Ag 0.3305 0.0000 0.3391  8 Ag 2.83-3.01, 2 Na 2.94
Na 0.0000 0.0000 0.0000  8 Ag 2.94, 2 Na 3.01